1.
# AlPH4O6

AlPH4O6 at its PBEsol-relaxed geometry (meta-GGA SCAN, Alexandria).

abc: 8.5278 9.5713 9.8516
angles: 90.00 90.00 90.00
Space group Pbca (No. 61)
Symmetry-distinct sites (fractional):
Al 0.1573 0.1684 0.1339 (multiplicity 8)
P 0.0269 0.6458 0.6486 (multiplicity 8)
H 0.1451 0.5662 0.9679 (multiplicity 8)
H 0.1539 0.5845 0.3225 (multiplicity 8)
H 0.1951 0.1803 0.3797 (multiplicity 8)
H 0.2104 0.0505 0.5750 (multiplicity 8)
O 0.0137 0.0155 0.1469 (multiplicity 8)
O 0.0148 0.2078 0.7128 (multiplicity 8)
O 0.0874 0.2087 0.9578 (multiplicity 8)
O 0.1772 0.5517 0.0624 (multiplicity 8)
O 0.1994 0.6812 0.6120 (multiplicity 8)
O 0.2333 0.1137 0.3071 (multiplicity 8)

2.
# AlPH4O6

AlPH4O6 at its PBEsol-relaxed geometry (meta-GGA SCAN, Alexandria).

abc: 5.1280 9.6928 9.6706
angles: 90.00 120.51 90.00
Space group P2_1/c (No. 14)
Symmetry-distinct sites (fractional):
Al 0.1148 0.1756 0.2096 (multiplicity 4)
P 0.2698 0.6417 0.6767 (multiplicity 4)
H 0.0915 0.0394 0.7552 (multiplicity 4)
H 0.3322 0.1633 0.5171 (multiplicity 4)
H 0.3806 0.5628 0.3066 (multiplicity 4)
H 0.4099 0.6880 0.0275 (multiplicity 4)
O 0.0681 0.6726 0.7495 (multiplicity 4)
O 0.1401 0.7100 0.5104 (multiplicity 4)
O 0.1597 0.5608 0.2715 (multiplicity 4)
O 0.2886 0.0171 0.1666 (multiplicity 4)
O 0.3839 0.1463 0.4320 (multiplicity 4)
O 0.4113 0.2033 0.7114 (multiplicity 4)

3.
# AlPHO2

AlPHO2 at its PBEsol-relaxed geometry (meta-GGA SCAN, Alexandria).

abc: 3.4425 3.4425 5.3257
angles: 90.00 90.00 90.00
Space group P4/mmm (No. 123)
Symmetry-distinct sites (fractional):
Al 0.0000 0.0000 0.0000 (multiplicity 1)
P 0.0000 0.0000 0.5000 (multiplicity 1)
H 0.5000 0.5000 0.5000 (multiplicity 1)
O 0.0000 0.5000 0.0000 (multiplicity 2)

Number 1: volume 8.38 Å³ per atom, electronic total energy -7.79 eV per atom. Number 2: volume 8.63 Å³ per atom, electronic total energy -7.79 eV per atom. Number 3: volume 12.62 Å³ per atom, electronic total energy -7.19 eV per atom.